Entry 1:
Material: Zr2GaSiHg
Method: DFT, PBE-GGA
State: optimized geometry

The structure in POSCAR format:
```
Zr2GaSiHg
1.0
5.069 0.000 0.000
0.000 4.724 0.000
0.000 0.000 5.069
Zr Ga Hg Si
2 1 1 1
direct
0.000 0.000 0.500 Zr
0.500 0.000 0.000 Zr
0.000 0.000 0.000 Ga
0.000 0.500 0.000 Hg
0.500 0.500 0.500 Si
```

## Properties
- Fermi-level density of states: 0.735 states/eV per atom
- Calculated total energy: -4.552 eV per atom
- V: 121.4 Å³/f.u.
- Calculated density: 6.6 g/cm3
- Size of the total moment: 0.00 μB/atom

***

Entry 2:
Material: Fe5PtRh2
Method: DFT, PBE-GGA
State: optimized geometry

The structure in POSCAR format:
```
Fe5PtRh2
1.0
3.647 0.000 -1.002
-0.276 3.637 -1.002
0.197 0.213 7.853
Rh Fe Pt
2 5 1
direct
0.250 0.250 0.500 Rh
0.750 0.750 0.500 Rh
0.126 0.626 0.252 Fe
0.374 0.874 0.748 Fe
0.500 0.500 0.000 Fe
0.626 0.126 0.252 Fe
0.874 0.374 0.748 Fe
0.000 0.000 0.000 Pt
```

## Properties
- Fermi-level density of states: 1.502 states/eV per atom
- Calculated total energy: -7.917 eV per atom
- V: 105.7 Å³/f.u.
- Calculated density: 10.7 g/cm3
- ΔE_f: -0.28 eV/f.u.
- Size of the total moment: 1.89 μB/atom

***

Entry 3:
Material: SrRe2Tc
Method: DFT, PBE-GGA
State: optimized geometry

The structure in POSCAR format:
```
SrRe2Tc
1.0
-1.582 2.246 0.947
0.492 -0.812 2.746
7.192 4.989 0.187
Re Sr Tc
2 1 1
direct
0.500 0.500 0.199 Re
0.000 0.000 0.000 Re
0.000 0.000 0.500 Sr
0.500 0.500 0.802 Tc
```

## Properties
- Fermi-level density of states: 1.088 states/eV per atom
- Calculated total energy: -8.555 eV per atom
- V: 73.9 Å³/f.u.
- Calculated density: 12.5 g/cm3
- ΔE_f: 2.72 eV/f.u.
- Size of the total moment: 0.00 μB/atom
- Energy above the most stable polymorph in this dataset: 0.0312 eV per atom

***

Question: The highest V belongs to which entry?
Answer: Zr2GaSiHg

***

Question: What is the size of the total moment in the second record?
Answer: 1.89 μB/atom